(1)
DFT (GGA-PBE) results for a geometry-optimized Na4Pu3ThS8 structure.

Summary:
Total magnetic moment (μB per cell): 48.0
Crystal system: trigonal

Cell lengths 8.1549, 8.1549, 19.9419 Å; angles 90.00, 90.00, 120.00 degrees
Space group R-3m (No. 166, hexagonal axes)
Unique sites:
Na: 0.0000 0.0000 0.0000
Na: 0.0000 0.5000 0.0000
Pu: 0.0000 0.5000 0.5000
Th: 0.0000 0.0000 0.5000
S: 0.0000 0.0000 0.2409
S: 0.0014 0.5007 0.2437

(2)
DFT (GGA-PBE) results for a geometry-optimized NaPu2ThS4 structure.

Summary:
Total magnetic moment (μB per cell): 0.0
Crystal system: monoclinic

Cell lengths 6.927, 3.989, 6.989 Å; angles 90.00, 109.40, 90.00 degrees
Space group P2/m (No. 10)
Unique sites:
Na: 0.000 0.000 0.000
Pu: 0.500 0.000 0.500
Pu: 0.500 0.500 0.000
Th: 0.000 0.500 0.500
S: 0.255 0.500 0.256
S: 0.256 0.000 0.755

(3)
DFT (GGA-PBE) results for a geometry-optimized Na4PuTh3S8 structure.

Summary:
Total magnetic moment (μB per cell): 19.6
Crystal system: trigonal

Cell lengths 8.1084, 8.1084, 20.3511 Å; angles 90.00, 90.00, 120.00 degrees
Space group R-3m (No. 166, hexagonal axes)
Unique sites:
Na: 0.0000 0.0000 0.0000
Na: 0.0000 0.5000 0.0000
Pu: 0.0000 0.0000 0.5000
Th: 0.0000 0.5000 0.5000
S: 0.0000 0.0000 0.2469
S: 0.0014 0.5007 0.7546

(4)
DFT (GGA-PBE) results for a geometry-optimized Na3Pu2ThS6 structure.

Summary:
Total magnetic moment (μB per cell): 22.0
Crystal system: monoclinic

Cell lengths 7.083, 12.268, 7.063 Å; angles 90.00, 109.52, 90.00 degrees
Space group C2/m (No. 12)
Unique sites:
Na: 0.000 0.000 0.000
Na: 0.000 0.332 0.000
Pu: 0.000 0.167 0.500
Th: 0.000 0.500 0.500
S: 0.243 0.334 0.730
S: 0.245 0.000 0.730

(5)
DFT (GGA-PBE) results for a geometry-optimized Na3PuTi2S6 structure.

Summary:
Total magnetic moment (μB per cell): 14.0
Crystal system: monoclinic

Cell lengths 6.460, 11.210, 7.022 Å; angles 90.00, 108.10, 90.00 degrees
Space group C2/m (No. 12)
Unique sites:
Na: 0.000 0.000 0.000
Na: 0.000 0.338 0.000
Pu: 0.000 0.500 0.500
Ti: 0.000 0.168 0.500
S: 0.215 0.000 0.715
S: 0.249 0.179 0.285

(6)
DFT (GGA-PBE) results for a geometry-optimized Na3Pu3TiS8 structure.

Summary:
Total magnetic moment (μB per cell): 10.2
Crystal system: monoclinic

Cell lengths 13.088, 7.817, 6.651 Å; angles 90.00, 91.53, 90.00 degrees
Space group C2/m (No. 12)
Unique sites:
Na: 0.000 0.000 0.000
Na: 0.250 0.250 0.500
Pu: 0.000 0.500 0.500
Pu: 0.250 0.250 0.000
Ti: 0.000 0.000 0.500
S: 0.079 0.223 0.713
S: 0.162 0.500 0.223
S: 0.166 0.000 0.245

Values of uncorrected formation energy, in order: -1.60 -1.67 -1.62 -1.61 -1.40 -1.32, all in eV/atom.